# 1
Entry from the Alexandria database: an optimized crystal structure of CeMg10Hg2 (PBE).

The structure in POSCAR format:
```
CeMg10Hg2
1.0
-5.4233 -2.6052 -0.3736
-0.3333 -6.7976 3.6062
-4.7062 1.9867 5.8291
Mg Hg Ce
10 2 1
Direct
0.0055 0.6455 0.3435
0.0000 0.0000 0.5000
0.3490 0.6455 0.6565
0.5038 0.7822 0.2101
0.6510 0.3545 0.3435
0.5000 0.0000 0.5000
0.7139 0.7822 0.7899
0.9945 0.3545 0.6565
0.4962 0.2178 0.7899
0.2861 0.2178 0.2101
0.5000 0.5000 0.0000
0.0000 0.5000 0.0000
0.0000 0.0000 0.0000
```

Values from the calculation:
* formation energy from the elements: -8.5 kJ per mole of atoms
* spin magnetization: 1.1 μB per formula unit
* space-group type: Fmmm
* energy: -1.82 eV per atom

# 2
Entry from the Alexandria database: an optimized crystal structure of Ce3MgHg3 (PBE).

The structure in POSCAR format:
```
Ce3MgHg3
1.0
6.1093 0.0652 0.3734
-2.6633 5.4986 0.3734
-0.0641 -0.1035 10.9588
Ce Hg Mg
6 6 2
Direct
0.8677 0.1323 0.5000
0.4801 0.4801 0.6235
0.2667 0.7333 0.0000
0.1323 0.8677 0.5000
0.7333 0.2667 0.0000
0.5199 0.5199 0.3765
0.4721 0.9782 0.7314
0.2530 0.2530 0.9009
0.5279 0.0218 0.2686
0.0218 0.5279 0.2686
0.9782 0.4721 0.7314
0.7470 0.7470 0.0991
0.1489 0.1489 0.1837
0.8511 0.8511 0.8163
```

Values from the calculation:
* formation energy from the elements: -19.4 kJ per mole of atoms
* spin magnetization: 2.7 μB per formula unit
* space-group type: C2/m
* energy: -3.10 eV per atom

# 3
Entry from the Alexandria database: an optimized crystal structure of CeMg2Hg3 (PBE).

The structure in POSCAR format:
```
CeMg2Hg3
1.0
5.0733 0.0000 0.0000
-2.5366 4.3936 0.0000
0.0000 0.0000 12.7820
Mg Ce Hg
4 2 6
Direct
0.6667 0.3333 0.8392
0.3333 0.6667 0.1608
0.0000 0.0000 0.0000
0.0000 0.0000 0.5000
0.6667 0.3333 0.3344
0.3333 0.6667 0.6656
0.6667 0.3333 0.5811
0.0000 0.0000 0.7669
0.3333 0.6667 0.9202
0.0000 0.0000 0.2331
0.6667 0.3333 0.0798
0.3333 0.6667 0.4189
```

Values from the calculation:
* energy relative to the lowest polymorph listed for this composition: 0 meV per atom
* formation energy from the elements: -30.4 kJ per mole of atoms
* spin magnetization: 0.9 μB per formula unit
* space-group type: P-3m1
* energy: -1.99 eV per atom

# 4
Entry from the Alexandria database: an optimized crystal structure of Ce3Mg2Hg6 (PBE).

The structure in POSCAR format:
```
Ce3Mg2Hg6
1.0
-3.9912 2.3180 -0.3316
-2.3040 -4.0045 -0.2608
1.9147 0.6666 13.8990
Hg Ce Mg
6 3 2
Direct
0.3927 0.8927 0.7853
0.3150 0.3150 0.6300
0.6850 0.6850 0.3700
0.1073 0.6073 0.2147
0.6073 0.1073 0.2147
0.8927 0.3927 0.7853
0.0000 0.0000 0.0000
0.8011 0.8011 0.6022
0.1989 0.1989 0.3978
0.4491 0.4491 0.8981
0.5509 0.5509 0.1019
```

Values from the calculation:
* formation energy from the elements: -16.9 kJ per mole of atoms
* spin magnetization: 3.9 μB per formula unit
* space-group type: I4/mmm
* energy: -2.25 eV per atom

# 5
Entry from the Alexandria database: an optimized crystal structure of CeMgHg4 (PBE).

The structure in POSCAR format:
```
CeMgHg4
1.0
4.0833 0.0000 1.1810
2.2468 4.8688 -0.1187
-0.0191 -1.5310 7.7156
Hg Mg Ce
4 1 1
Direct
0.3548 0.9866 0.3039
0.6452 0.0134 0.6961
0.1738 0.4968 0.1556
0.8262 0.5032 0.8444
0.0000 0.0000 0.0000
0.5000 0.5000 0.5000
```

Values from the calculation:
* energy relative to the lowest polymorph listed for this composition: 0 meV per atom
* formation energy from the elements: -22.7 kJ per mole of atoms
* spin magnetization: 1.0 μB per formula unit
* space-group type: C2/m
* energy: -1.69 eV per atom

# 6
Entry from the Alexandria database: an optimized crystal structure of Ce2MgHg8 (PBE).

The structure in POSCAR format:
```
Ce2MgHg8
1.0
4.8213 0.0000 -1.4577
-0.7585 6.6399 -2.5086
0.0472 -0.3323 8.8585
Hg Ce Mg
8 2 1
Direct
0.0023 0.7168 0.0046
0.6318 0.8509 0.2637
0.9977 0.2832 0.9954
0.3682 0.1491 0.7363
0.6247 0.4122 0.2494
0.3753 0.5878 0.7506
0.8401 0.8388 0.6802
0.1599 0.1612 0.3198
0.2064 0.7016 0.4127
0.7936 0.2984 0.5873
0.5000 0.0000 0.0000
```

Values from the calculation:
* formation energy from the elements: -21.3 kJ per mole of atoms
* spin magnetization: 2.1 μB per formula unit
* space-group type: C2/m
* energy: -1.66 eV per atom

# 7
Entry from the Alexandria database: an optimized crystal structure of Ce2Mg3Hg4 (PBE).

The structure in POSCAR format:
```
Ce2Mg3Hg4
1.0
2.5397 4.4360 -0.0939
-2.5397 4.4360 -0.0939
0.0000 0.4815 9.9373
Hg Mg Ce
4 3 2
Direct
0.3364 0.3364 0.8975
0.9889 0.9889 0.3492
0.0111 0.0111 0.6508
0.6636 0.6636 0.1025
0.6592 0.6592 0.4228
0.3408 0.3408 0.5772
0.0000 0.0000 0.0000
0.6720 0.6720 0.7858
0.3280 0.3280 0.2142
```

Values from the calculation:
* energy relative to the lowest polymorph listed for this composition: 0 meV per atom
* formation energy from the elements: -28.3 kJ per mole of atoms
* spin magnetization: 2.0 μB per formula unit
* space-group type: C2/m
* energy: -2.28 eV per atom

# 8
Entry from the Alexandria database: an optimized crystal structure of Ce4MgHg3 (PBE).

The structure in POSCAR format:
```
Ce4MgHg3
1.0
-0.1106 0.9084 -4.1695
3.6061 -0.9710 -0.3072
-17.2213 -9.0762 0.6648
Ce Mg Hg
4 1 3
Direct
0.1019 0.7600 0.2037
0.3508 0.5456 0.7016
0.8981 0.2400 0.7963
0.6492 0.4544 0.2984
0.5000 0.0000 0.0000
0.7794 0.5064 0.5587
0.2206 0.4936 0.4413
0.0000 0.5000 0.0000
```

Values from the calculation:
* formation energy from the elements: -7.6 kJ per mole of atoms
* spin magnetization: 2.1 μB per formula unit
* space-group type: C2/m
* energy: -3.36 eV per atom